# 1
RbO: optimized geometry, PBE.

Values from the calculation:
E_form (uncorrected) (eV/atom): -0.934
Total moment (Bohr magnetons per cell): 0.00

Unit cell a=3.994 b=14.172 c=6.505 alpha=90.00 beta=90.00 gamma=90.00
Space group Cmcm (No. 63)
One atom of each set of equivalent atoms:
Rb 0.000 0.010 0.250 [4 per cell]
Rb 0.000 0.263 0.250 [4 per cell]
O 0.000 0.368 0.632 [8 per cell]


# 2
Rb6O: optimized geometry, PBE.

Values from the calculation:
ΔE to the lowest computed polymorph (meV/atom): 0
E_form (uncorrected) (eV/atom): -0.423
Total moment (Bohr magnetons per cell): 0.00

Unit cell a=8.5002 b=8.5002 c=30.2184 alpha=90.00 beta=90.00 gamma=120.00
Space group P6_3/m (No. 176)
One atom of each set of equivalent atoms:
Rb 0.0000 0.0000 0.0000 [2 per cell]
Rb 0.0697 0.6826 0.1374 [12 per cell]
Rb 0.0818 0.4261 0.2500 [6 per cell]
Rb 0.3333 0.6667 0.5152 [4 per cell]
O 0.3333 0.6667 0.1857 [4 per cell]


# 3
RbO: optimized geometry, PBE.

Values from the calculation:
E_form (uncorrected) (eV/atom): -0.482
Total moment (Bohr magnetons per cell): 6.00

Unit cell a=7.843 b=7.843 c=7.843 alpha=90.00 beta=90.00 gamma=90.00
Space group Pm-3n (No. 223)
One atom of each set of equivalent atoms:
Rb 0.000 0.250 0.500 [6 per cell]
O 0.000 0.500 0.250 [6 per cell]


# 4
Rb5O2: optimized geometry, PBE.

Values from the calculation:
E_form (uncorrected) (eV/atom): -0.783
Total moment (Bohr magnetons per cell): 0.00

Unit cell a=23.052 b=7.322 c=7.460 alpha=90.00 beta=107.35 gamma=90.00
Space group C2/c (No. 15)
One atom of each set of equivalent atoms:
Rb 0.000 0.047 0.250 [4 per cell]
Rb 0.063 0.380 0.657 [8 per cell]
Rb 0.168 0.195 0.173 [8 per cell]
O 0.056 0.260 0.015 [8 per cell]


# 5
Rb4O: optimized geometry, PBE.

Values from the calculation:
ΔE to the lowest computed polymorph (meV/atom): 205
E_form (uncorrected) (eV/atom): -0.384
Total moment (Bohr magnetons per cell): 0.00

Unit cell a=6.174 b=6.174 c=6.174 alpha=90.00 beta=90.00 gamma=90.00
Space group Pm-3m (No. 221)
One atom of each set of equivalent atoms:
Rb 0.000 0.000 0.000 [1 per cell]
Rb 0.000 0.500 0.500 [3 per cell]
O 0.500 0.500 0.500 [1 per cell]


# 6
RbO: optimized geometry, PBE.

Values from the calculation:
E_form (uncorrected) (eV/atom): -0.557
Total moment (Bohr magnetons per cell): 4.00

Unit cell a=5.812 b=5.812 c=5.812 alpha=90.00 beta=90.00 gamma=90.00
Space group Fm-3m (No. 225)
One atom of each set of equivalent atoms:
Rb 0.000 0.000 0.000 [4 per cell]
O 0.000 0.000 0.500 [4 per cell]


# 7
Rb5O6: optimized geometry, PBE.

Values from the calculation:
E_form (uncorrected) (eV/atom): -0.830
Total moment (Bohr magnetons per cell): 2.04

Unit cell a=5.538 b=14.325 c=6.060 alpha=90.00 beta=92.10 gamma=90.00
Space group C2/m (No. 12)
One atom of each set of equivalent atoms:
Rb 0.000 0.000 0.000 [2 per cell]
Rb 0.000 0.317 0.000 [4 per cell]
Rb 0.000 0.376 0.500 [4 per cell]
O 0.002 0.500 0.125 [4 per cell]
O 0.004 0.180 0.619 [8 per cell]


# 8
RbO: optimized geometry, PBE.

Values from the calculation:
E_form (uncorrected) (eV/atom): -0.995
Total moment (Bohr magnetons per cell): 0.00

Unit cell a=4.267 b=6.054 c=7.177 alpha=90.00 beta=90.00 gamma=90.00
Space group Immm (No. 71)
One atom of each set of equivalent atoms:
Rb 0.000 0.000 0.241 [4 per cell]
O 0.000 0.374 0.500 [4 per cell]


E_form (uncorrected) of number 5 (Rb4O)? -0.384 eV/atom


Number 6 is which compound? RbO